[1]
## ScSi2Ni (PBE)

Data for a relaxed ScSi2Ni crystal.

Summary:
D(E_F): 4.8 states/eV per cell
Uncorrected formation energy: -0.432 eV/atom
Density: 4.4 g cm⁻³
SG: Imm2, No. 44
E_tot: -6.1717 eV/atom

a b c (Å): 3.6950 3.7327 8.7570
angles (deg): 90.00 90.00 90.00
Fractional coordinates of all 8 atoms:
Sc (0.0000, 0.0000, 0.0000)
Sc (0.5000, 0.5000, 0.5000)
Si (0.0000, 0.0000, 0.5755)
Si (0.0000, 0.5000, 0.2630)
Si (0.5000, 0.0000, 0.7630)
Si (0.5000, 0.5000, 0.0755)
Ni (0.0000, 0.5000, 0.7447)
Ni (0.5000, 0.0000, 0.2447)

[2]
## ScSi2Ni (PBE)

Data for a relaxed ScSi2Ni crystal.

Summary:
D(E_F): 3.0 states/eV per cell
Uncorrected formation energy: -0.466 eV/atom
Density: 4.7 g cm⁻³
SG: P4/mmm, No. 123
E_tot: -6.2062 eV/atom

a b c (Å): 3.8434 3.8434 3.8348
angles (deg): 90.00 90.00 90.00
Fractional coordinates of all 4 atoms:
Sc (0.0000, 0.0000, 0.0000)
Si (0.0000, 0.5000, 0.5000)
Si (0.5000, 0.0000, 0.5000)
Ni (0.5000, 0.5000, 0.0000)

[3]
## ScSi2Ni (PBE)

Data for a relaxed ScSi2Ni crystal.

Summary:
D(E_F): 4.9 states/eV per cell
Uncorrected formation energy: -0.737 eV/atom
Density: 4.4 g cm⁻³
SG: Immm, No. 71
E_tot: -6.4766 eV/atom

a b c (Å): 8.7656 8.7656 8.7656
angles (deg): 154.09 125.02 61.75
Fractional coordinates of all 16 atoms:
Sc (0.2027, 0.2027, 0.0000)
Sc (0.2379, 0.0000, 0.2379)
Sc (0.7621, 0.0000, 0.7621)
Sc (0.7973, 0.7973, 0.0000)
Si (0.0759, 0.5759, 0.5000)
Si (0.1463, 0.8020, 0.3443)
Si (0.4198, 0.4198, 0.0000)
Si (0.4576, 0.8020, 0.6557)
Si (0.5424, 0.1980, 0.3443)
Si (0.5802, 0.5802, 0.0000)
Si (0.8537, 0.1980, 0.6557)
Si (0.9241, 0.4241, 0.5000)
Ni (0.1005, 0.3522, 0.7483)
Ni (0.3961, 0.6478, 0.7483)
Ni (0.6039, 0.3522, 0.2517)
Ni (0.8995, 0.6478, 0.2517)

[4]
## Sc4Si4Ni3 (PBE)

Data for a relaxed Sc4Si4Ni3 crystal.

Summary:
D(E_F): 5.7 states/eV per cell
Uncorrected formation energy: -0.466 eV/atom
Density: 4.1 g cm⁻³
SG: Immm, No. 71
E_tot: -6.3173 eV/atom

a b c (Å): 7.5766 7.5766 7.5766
angles (deg): 152.97 103.77 82.60
Fractional coordinates of all 11 atoms:
Sc (0.2166, 0.2166, 0.0000)
Sc (0.2455, 0.5000, 0.7455)
Sc (0.7545, 0.5000, 0.2545)
Sc (0.7834, 0.7834, 0.0000)
Si (0.1000, 0.8077, 0.2923)
Si (0.4846, 0.1923, 0.2923)
Si (0.5154, 0.8077, 0.7077)
Si (0.9000, 0.1923, 0.7077)
Ni (0.0000, 0.0000, 0.0000)
Ni (0.3989, 0.8989, 0.5000)
Ni (0.6011, 0.1011, 0.5000)